First-principles (PBE with a Hubbard U) data for a relaxed ZrMnPO2 crystal, as listed in Alexandria.

Results
Magnetization   3.728 μB/f.u.
E   -7.241 eV per atom

a b c (Å): 3.788 3.788 4.860
angles (deg): 90.00 90.00 90.00
Space group P4/mmm (No. 123)
One atom of each set of equivalent atoms:
1 Zr 0.000 0.000 0.000 [1 per cell]
2 Mn 0.500 0.500 0.500 [1 per cell]
3 P 0.500 0.500 0.000 [1 per cell]
4 O 0.000 0.500 0.500 [2 per cell]